## Fe2CoMoO6 (PBE+U)

Data for an optimized crystal structure of Fe2CoMoO6.

electronic total energy	-132.35	eV per cell

a b c (Å): 5.220 5.258 9.122
angles (deg): 90.00 124.50 90.00
Space group P2_1/c (No. 14)
Asymmetric unit:
1 Fe 0.249 0.037 0.259 x4
2 Co 0.500 0.000 0.000 x2
3 Mo 0.000 0.000 0.500 x2
4 O 0.149 0.068 0.756 x4
5 O 0.247 0.678 0.566 x4
6 O 0.374 0.182 0.550 x4